1.
Na2MnSb2S6: relaxed, GGA-PBE.

Output
DFT total energy: -51.15 eV per formula unit
ΔE_f (raw): -0.58 eV/atom
density: 3.50 g/cm3

Unit cell a=6.696 b=11.227 c=7.153 alpha=90.00 beta=108.64 gamma=90.00
Space group C2/m (No. 12)
One atom of each set of equivalent atoms:
Na (0.000, 0.173, 0.000) x4
Mn (0.000, 0.000, 0.500) x2
Sb (0.000, 0.331, 0.500) x4
S (0.210, 0.000, 0.292) x4
S (0.221, 0.151, 0.710) x8



2.
Na3ScMn2S6: relaxed, GGA-PBE.

Output
DFT total energy: -66.54 eV per formula unit
ΔE_f (raw): -1.10 eV/atom
density: 3.00 g/cm3

Unit cell a=6.338 b=10.976 c=6.951 alpha=90.00 beta=107.75 gamma=90.00
Space group C2/m (No. 12)
One atom of each set of equivalent atoms:
Na (0.000, 0.000, 0.000) x2
Na (0.000, 0.335, 0.000) x4
Sc (0.000, 0.500, 0.500) x2
Mn (0.000, 0.167, 0.500) x4
S (0.224, 0.000, 0.707) x4
S (0.242, 0.327, 0.707) x8



3.
NaScMnS3: relaxed, GGA-PBE.

Output
DFT total energy: -36.84 eV per formula unit
ΔE_f (raw): -1.27 eV/atom
density: 2.86 g/cm3

Unit cell a=3.801 b=13.141 c=10.192 alpha=90.00 beta=90.00 gamma=90.00
Space group Cmcm (No. 63)
One atom of each set of equivalent atoms:
Na (0.000, 0.248, 0.250) x4
Sc (0.000, 0.500, 0.000) x4
Mn (0.000, 0.034, 0.750) x4
S (0.000, 0.128, 0.560) x8
S (0.000, 0.425, 0.750) x4



4.
Na3Sc3MnS8: relaxed, GGA-PBE.

Output
DFT total energy: -87.22 eV per formula unit
ΔE_f (raw): -1.47 eV/atom
density: 2.70 g/cm3

Unit cell a=7.3677 b=7.3677 c=20.1974 alpha=90.00 beta=90.00 gamma=120.00
Space group R-3m (No. 166, hexagonal axes)
One atom of each set of equivalent atoms:
Na (0.0000, 0.5000, 0.0000) x9
Sc (0.0000, 0.5000, 0.5000) x9
Mn (0.0000, 0.0000, 0.5000) x3
S (0.0000, 0.0000, 0.2387) x6
S (0.0218, 0.5109, 0.2345) x18



Copy entry 2 word for word.
Na3ScMn2S6: relaxed, GGA-PBE.

Output
DFT total energy: -66.54 eV per formula unit
ΔE_f (raw): -1.10 eV/atom
density: 3.00 g/cm3

Unit cell a=6.338 b=10.976 c=6.951 alpha=90.00 beta=107.75 gamma=90.00
Space group C2/m (No. 12)
One atom of each set of equivalent atoms:
Na (0.000, 0.000, 0.000) x2
Na (0.000, 0.335, 0.000) x4
Sc (0.000, 0.500, 0.500) x2
Mn (0.000, 0.167, 0.500) x4
S (0.224, 0.000, 0.707) x4
S (0.242, 0.327, 0.707) x8



Which of these has the lowest DFT total energy? Na3Sc3MnS8



Which of these has the highest DFT total energy? NaScMnS3



What is the formula in the fourth record? Na3Sc3MnS8